DFT (GGA-PBEsol) results for a relaxed Ca2Br crystal.

It has space group P-3m1 (No. 164), with a = 3.8956 Å, b = 3.8956 Å, c = 7.2775 Å, α = 90.00°, β = 90.00° and γ = 120.00°. The asymmetric unit holds Ca at (0.3333, 0.6667, 0.2964) and Br at (0.0000, 0.0000, 0.0000).

The density of states at the Fermi level comes out at 3.00 states/eV per cell. The total energy comes out at -8.9 eV/cell. The value obtained for the total moment is 0.66 μB/cell.

DFT (GGA-PBEsol) results for a relaxed PrMgSn crystal.

It has space group Pnma (No. 62), with a = 7.6350 Å, b = 4.6099 Å, c = 9.0506 Å, α = 90.00°, β = 90.00° and γ = 90.00°. The asymmetric unit holds Pr at (0.0207, 0.2500, 0.1834), Mg at (0.1556, 0.2500, 0.5683) and Sn at (0.2308, 0.7500, 0.3878).

As for the formation energy: -179.8 kJ/mol of formula units. The density of states at the Fermi level comes out at 8.74 states/eV per cell. The value obtained for the total moment is 0.00 μB/cell.

DFT (GGA-PBEsol) results for a relaxed ScCrAs2I crystal.

It has space group P4/mmm (No. 123), with a = 5.0152 Å, b = 5.0152 Å, c = 5.6159 Å, α = 90.00°, β = 90.00° and γ = 90.00°. The asymmetric unit holds Sc at (0.0000, 0.0000, 0.0000), Cr at (0.5000, 0.5000, 0.5000), As at (0.0000, 0.5000, 0.0000) and I at (0.0000, 0.0000, 0.5000).

The density of states at the Fermi level comes out at 3.67 states/eV per cell. The total energy comes out at -26.4 eV/cell. The value obtained for the total moment is 3.89 μB/cell.

DFT (GGA-PBEsol) results for a relaxed MgCdRe3 crystal.

It has space group Pm-3m (No. 221), with a = 4.7790 Å, b = 4.7790 Å, c = 4.7790 Å, α = 90.00°, β = 90.00° and γ = 90.00°. The asymmetric unit holds Mg at (0.0000, 0.0000, 0.0000), Cd at (0.5000, 0.5000, 0.5000) and Re at (0.0000, 0.5000, 0.5000).

As for the formation energy: 1462.1 kJ/mol of formula units. The density of states at the Fermi level comes out at 7.73 states/eV per cell. The value obtained for the total moment is 0.01 μB/cell.

DFT (GGA-PBEsol) results for a relaxed InFeP2 crystal.

It has space group P4mm (No. 99), with a = 2.9260 Å, b = 2.9260 Å, c = 7.0752 Å, α = 90.00°, β = 90.00° and γ = 90.00°. The asymmetric unit holds In at (0.0000, 0.0000, 0.0000), Fe at (0.5000, 0.5000, 0.7099), P at (0.0000, 0.0000, 0.5768) and P at (0.5000, 0.5000, 0.3755).

As for the formation energy: 26.8 kJ/mol of formula units. The density of states at the Fermi level comes out at 2.28 states/eV per cell. The value obtained for the total moment is 0.96 μB/cell.

DFT (GGA-PBEsol) results for a relaxed LaCoAg2 crystal.

It has space group Immm (No. 71), with a = 3.3550 Å, b = 4.3416 Å, c = 10.0068 Å, α = 90.00°, β = 90.00° and γ = 90.00°. The asymmetric unit holds La at (0.0000, 0.0000, 0.0000), Co at (0.0000, 0.0000, 0.5000) and Ag at (0.0000, 0.5000, 0.2215).

As for the formation energy: 5.1 kJ/mol of formula units. The density of states at the Fermi level comes out at 4.96 states/eV per cell. The value obtained for the total moment is 0.17 μB/cell.

DFT (GGA-PBEsol) results for a relaxed Ca2HgCl crystal.

It has space group Fm-3m (No. 225), with a = 7.4890 Å, b = 7.4890 Å, c = 7.4890 Å, α = 90.00°, β = 90.00° and γ = 90.00°. The asymmetric unit holds Ca at (0.2500, 0.2500, 0.2500), Hg at (0.0000, 0.0000, 0.0000) and Cl at (0.0000, 0.0000, 0.5000).

The density of states at the Fermi level comes out at 18.00 states/eV per cell. The total energy comes out at -40.3 eV/cell. The value obtained for the total moment is 3.62 μB/cell.

DFT (GGA-PBEsol) results for a relaxed Ti2CuIr crystal.

It has space group Fm-3m (No. 225), with a = 6.1173 Å, b = 6.1173 Å, c = 6.1173 Å, α = 90.00°, β = 90.00° and γ = 90.00°. The asymmetric unit holds Ti at (0.2500, 0.2500, 0.2500), Cu at (0.0000, 0.0000, 0.0000) and Ir at (0.0000, 0.0000, 0.5000).

As for the formation energy: -190.6 kJ/mol of formula units. The density of states at the Fermi level comes out at 15.60 states/eV per cell. The value obtained for the total moment is 0.00 μB/cell.

DFT (GGA-PBEsol) results for a relaxed Tl2NiMo crystal.

It has space group P4/mmm (No. 123), with a = 3.1161 Å, b = 3.1161 Å, c = 7.0755 Å, α = 90.00°, β = 90.00° and γ = 90.00°. The asymmetric unit holds Tl at (0.0000, 0.0000, 0.2290), Ni at (0.5000, 0.5000, 0.0000) and Mo at (0.5000, 0.5000, 0.5000).

As for the formation energy: 238.5 kJ/mol of formula units. The density of states at the Fermi level comes out at 3.31 states/eV per cell. The value obtained for the total moment is 0.77 μB/cell.

DFT (GGA-PBEsol) results for a relaxed Na2NiN crystal.

It has space group I-42d (No. 122), with a = 9.6931 Å, b = 9.6931 Å, c = 3.4494 Å, α = 90.00°, β = 90.00° and γ = 90.00°. The asymmetric unit holds Na at (0.0142, 0.7500, 0.1250), Ni at (0.0000, 0.0000, 0.5000) and N at (0.0000, 0.0000, 0.0000).

The density of states at the Fermi level comes out at 3.63 states/eV per cell. The total energy comes out at -71.8 eV/cell. The value obtained for the total moment is 0.00 μB/cell.

DFT (GGA-PBEsol) results for a relaxed Cs4HfO4 crystal.

It has space group P2_1/c (No. 14), with a = 11.5904 Å, b = 7.2942 Å, c = 11.7322 Å, α = 90.00°, β = 111.45° and γ = 90.00°. The asymmetric unit holds Cs at (0.0583, 0.0843, 0.1972), Cs at (0.1605, 0.6086, 0.0898), Cs at (0.3666, 0.6592, 0.8902), Cs at (0.4322, 0.1822, 0.7973), Hf at (0.2434, 0.1301, 0.9946), O at (0.0822, 0.2325, 0.9772), O at (0.2252, 0.5041, 0.3444), O at (0.3017, 0.5268, 0.6407) and O at (0.3627, 0.1699, 0.5205).

The density of states at the Fermi level comes out at 0.00 states/eV per cell. The total energy comes out at -215.8 eV/cell. The value obtained for the total moment is 0.00 μB/cell.

DFT (GGA-PBEsol) results for a relaxed LuCdAg2 crystal.

It has space group Fm-3m (No. 225), with a = 6.7549 Å, b = 6.7549 Å, c = 6.7549 Å, α = 90.00°, β = 90.00° and γ = 90.00°. The asymmetric unit holds Lu at (0.0000, 0.0000, 0.0000), Cd at (0.0000, 0.0000, 0.5000) and Ag at (0.2500, 0.2500, 0.2500).

As for the formation energy: -115.8 kJ/mol of formula units. The density of states at the Fermi level comes out at 8.44 states/eV per cell. The value obtained for the total moment is 0.00 μB/cell.

DFT (GGA-PBEsol) results for a relaxed BaHPt2 crystal.

It has space group Fd-3m (No. 227, origin choice 2), with a = 8.2422 Å, b = 8.2422 Å, c = 8.2422 Å, α = 90.00°, β = 90.00° and γ = 90.00°. The asymmetric unit holds Ba at (0.1250, 0.1250, 0.1250), H at (0.1250, 0.1250, 0.6250) and Pt at (0.0000, 0.0000, 0.5000).

The density of states at the Fermi level comes out at 3.70 states/eV per cell. The total energy comes out at -170.1 eV/cell. The value obtained for the total moment is 0.00 μB/cell.

DFT (GGA-PBEsol) results for a relaxed KTe2Au crystal.

It has space group P2/m (No. 10), with a = 5.1753 Å, b = 4.1301 Å, c = 6.6888 Å, α = 90.00°, β = 97.14° and γ = 90.00°. The asymmetric unit holds K at (0.0000, 0.0000, 0.0000), Te at (0.4685, 0.5000, 0.7522) and Au at (0.5000, 0.0000, 0.5000).

The density of states at the Fermi level comes out at 1.00 states/eV per cell. The total energy comes out at -13.9 eV/cell. The value obtained for the total moment is 0.00 μB/cell.

DFT (GGA-PBEsol) results for a relaxed LaCr2Mo crystal.

It has space group F-43m (No. 216), with a = 6.3609 Å, b = 6.3609 Å, c = 6.3609 Å, α = 90.00°, β = 90.00° and γ = 90.00°. The asymmetric unit holds La at (0.0000, 0.0000, 0.0000), Cr at (0.0000, 0.0000, 0.5000), Cr at (0.2500, 0.2500, 0.2500) and Mo at (0.2500, 0.2500, 0.7500).

As for the formation energy: 271.4 kJ/mol of formula units. The density of states at the Fermi level comes out at 13.69 states/eV per cell. The value obtained for the total moment is 0.03 μB/cell.

DFT (GGA-PBEsol) results for a relaxed La2TeCl crystal.

It has space group I-4m2 (No. 119), with a = 4.3290 Å, b = 4.3290 Å, c = 12.8272 Å, α = 90.00°, β = 90.00° and γ = 90.00°. The asymmetric unit holds La at (0.0000, 0.0000, 0.0000), La at (0.0000, 0.5000, 0.2500), Te at (0.0000, 0.0000, 0.5000) and Cl at (0.0000, 0.5000, 0.7500).

The density of states at the Fermi level comes out at 8.24 states/eV per cell. The total energy comes out at -42.1 eV/cell. The value obtained for the total moment is 0.00 μB/cell.

DFT (GGA-PBEsol) results for a relaxed ZrSiAg2 crystal.

It has space group I4/mmm (No. 139), with a = 3.9331 Å, b = 3.9331 Å, c = 8.9248 Å, α = 90.00°, β = 90.00° and γ = 90.00°. The asymmetric unit holds Zr at (0.0000, 0.0000, 0.0000), Si at (0.0000, 0.0000, 0.5000) and Ag at (0.0000, 0.5000, 0.2500).

The density of states at the Fermi level comes out at 4.32 states/eV per cell. The total energy comes out at -44.3 eV/cell. The value obtained for the total moment is 0.00 μB/cell.

DFT (GGA-PBEsol) results for a relaxed LiSc2Pd2 crystal.

It has space group P4/mbm (No. 127), with a = 7.5112 Å, b = 7.5112 Å, c = 3.2546 Å, α = 90.00°, β = 90.00° and γ = 90.00°. The asymmetric unit holds Li at (0.0000, 0.0000, 0.0000), Sc at (0.1582, 0.3418, 0.5000) and Pd at (0.1376, 0.6376, 0.0000).

As for the formation energy: -307.7 kJ/mol of formula units. The density of states at the Fermi level comes out at 7.12 states/eV per cell. The value obtained for the total moment is 0.00 μB/cell.

DFT (GGA-PBEsol) results for a relaxed CdTePbW2 crystal.

It has space group P4/mmm (No. 123), with a = 4.9109 Å, b = 4.9109 Å, c = 5.7238 Å, α = 90.00°, β = 90.00° and γ = 90.00°. The asymmetric unit holds Cd at (0.0000, 0.0000, 0.0000), Te at (0.5000, 0.5000, 0.5000), Pb at (0.5000, 0.5000, 0.0000) and W at (0.0000, 0.5000, 0.5000).

The density of states at the Fermi level comes out at 5.46 states/eV per cell. The total energy comes out at -25.6 eV/cell. The value obtained for the total moment is 0.00 μB/cell.

DFT (GGA-PBEsol) results for a relaxed LiAg crystal.

It has space group Pmma (No. 51), with a = 4.4883 Å, b = 2.9832 Å, c = 4.4979 Å, α = 90.00°, β = 90.00° and γ = 90.00°. The asymmetric unit holds Li at (0.2500, 0.0000, 0.2317) and Ag at (0.2500, 0.5000, 0.7313).

As for the formation energy: -35.2 kJ/mol of formula units. The density of states at the Fermi level comes out at 1.32 states/eV per cell. The value obtained for the total moment is 0.00 μB/cell.